DFT (PBE-GGA) results for a relaxed structure of ThAgF.

Calculated values
* magnetic moment: 0.000 μB per formula unit
* Fermi-level density of states: 0.516 states/eV/atom
* formation energy without anion corrections: -1200.2 meV per atom
* volume: 25.66 Å³/atom
* crystal system: orthorhombic
* electronic total energy: -62.97 eV/cell

Cell: 14.1860 3.5401 6.1304 Å, 90.00 90.00 90.00°
With the nearest neighbours (Å) after each atom.
Space group Amm2 (No. 38)
Inequivalent atoms, fractional coordinates:
Th  0.1703  0.0000  0.0000 [4 per cell]  3 F 2.51
Ag  0.0000  0.0000  0.6663 [2 per cell]  6 Th 3.16-3.17, 6 Ag 3.54
Ag  0.5000  0.0000  0.9616 [2 per cell]  6 Ag 3.54, 6 F 3.69-3.88
F  0.2731  0.0000  0.6670 [4 per cell]  3 Th 2.51